# Mo2AsCl

An optimized crystal structure of Mo2AsCl (PBE-GGA, Alexandria via LeMat-Bulk).

The raw total energy comes out at -6.8015 eV per atom. Its volume is 72 Å³/cell. As for the uncorrected formation energy: 0.238 eV/atom.

The space group is P4/mmm (No. 123) and the conventional cell measures 3.2897, 3.2897 and 6.6758 Å, with angles of 90.00, 90.00 and 90.00 degrees. The asymmetric unit holds Mo at (0.0000, 0.0000, 0.1795), As at (0.5000, 0.5000, 0.0000) and Cl at (0.5000, 0.5000, 0.5000).

---

# MoAsCl2

An optimized crystal structure of MoAsCl2 (PBE-GGA, Alexandria via LeMat-Bulk).

The raw total energy comes out at -5.1795 eV per atom. Its volume is 203 Å³/cell. As for the uncorrected formation energy: -0.386 eV/atom.

The space group is Cm (No. 8) and the conventional cell measures 9.2034, 3.1307 and 7.4856 Å, with angles of 90.00, 109.42 and 90.00 degrees. The asymmetric unit holds Mo at (0.0000, 0.0000, 0.0000), As at (0.2899, 0.0000, 0.0000), Cl at (0.1189, 0.5000, 0.2706) and Cl at (0.4725, 0.0000, 0.7293).

---

# Mo2AsCl

An optimized crystal structure of Mo2AsCl (PBE-GGA, Alexandria via LeMat-Bulk).

The raw total energy comes out at -6.4725 eV per atom. Its volume is 68 Å³/cell. As for the uncorrected formation energy: 0.567 eV/atom.

The space group is Pmmm (No. 47) and the conventional cell measures 2.8412, 4.2008 and 5.7346 Å, with angles of 90.00, 90.00 and 90.00 degrees. The asymmetric unit holds Mo at (0.0000, 0.0000, 0.0000), Mo at (0.5000, 0.0000, 0.5000), As at (0.0000, 0.5000, 0.5000) and Cl at (0.5000, 0.5000, 0.0000).

---

# MoAsCl3

An optimized crystal structure of MoAsCl3 (PBE-GGA, Alexandria via LeMat-Bulk).

The raw total energy comes out at -3.6459 eV per atom. Its volume is 133 Å³/cell. As for the uncorrected formation energy: 0.558 eV/atom.

The space group is Pm-3m (No. 221) and the conventional cell measures 5.1026, 5.1026 and 5.1026 Å, with angles of 90.00, 90.00 and 90.00 degrees. The asymmetric unit holds Mo at (0.0000, 0.0000, 0.0000), As at (0.5000, 0.5000, 0.5000) and Cl at (0.0000, 0.5000, 0.5000).

---

# Mo2AsCl

An optimized crystal structure of Mo2AsCl (PBE-GGA, Alexandria via LeMat-Bulk).

The raw total energy comes out at -6.8923 eV per atom. Its volume is 185 Å³/cell. As for the uncorrected formation energy: 0.147 eV/atom.

The space group is Cm (No. 8) and the conventional cell measures 9.5944, 3.1813 and 6.0595 Å, with angles of 90.00, 90.13 and 90.00 degrees. The asymmetric unit holds Mo at (0.0000, 0.0000, 0.0000), Mo at (0.1057, 0.5000, 0.2516), As at (0.2585, 0.0000, 0.0050) and Cl at (0.4990, 0.0000, 0.6109).

---

# Mo2AsCl

An optimized crystal structure of Mo2AsCl (PBE-GGA, Alexandria via LeMat-Bulk).

The raw total energy comes out at -6.3845 eV per atom. Its volume is 129 Å³/cell. As for the uncorrected formation energy: 0.655 eV/atom.

The space group is I-4m2 (No. 119) and the conventional cell measures 4.0169, 4.0169 and 7.9810 Å, with angles of 90.00, 90.00 and 90.00 degrees. The asymmetric unit holds Mo at (0.0000, 0.0000, 0.0000), Mo at (0.0000, 0.5000, 0.2500), As at (0.0000, 0.5000, 0.7500) and Cl at (0.0000, 0.0000, 0.5000).

---

# Mo2AsCl

An optimized crystal structure of Mo2AsCl (PBE-GGA, Alexandria via LeMat-Bulk).

The raw total energy comes out at -7.0290 eV per atom. Its volume is 76 Å³/cell. As for the uncorrected formation energy: 0.011 eV/atom.

The space group is P4mm (No. 99) and the conventional cell measures 3.1084, 3.1084 and 7.8953 Å, with angles of 90.00, 90.00 and 90.00 degrees. The asymmetric unit holds Mo at (0.0000, 0.0000, 0.0000), Mo at (0.5000, 0.5000, 0.2062), As at (0.0000, 0.0000, 0.3832) and Cl at (0.5000, 0.5000, 0.7805).

---

# MoAsCl2

An optimized crystal structure of MoAsCl2 (PBE-GGA, Alexandria via LeMat-Bulk).

The raw total energy comes out at -4.8010 eV per atom. Its volume is 197 Å³/cell. As for the uncorrected formation energy: -0.008 eV/atom.

The space group is Imm2 (No. 44) and the conventional cell measures 2.9102, 4.7857 and 14.1767 Å, with angles of 90.00, 90.00 and 90.00 degrees. The asymmetric unit holds Mo at (0.0000, 0.0000, 0.0000), As at (0.0000, 0.5000, 0.3492), Cl at (0.0000, 0.0000, 0.4965) and Cl at (0.0000, 0.5000, 0.6379).

---

# MoAsCl2

An optimized crystal structure of MoAsCl2 (PBE-GGA, Alexandria via LeMat-Bulk).

The raw total energy comes out at -4.2753 eV per atom. Its volume is 145 Å³/cell. As for the uncorrected formation energy: 0.518 eV/atom.

The space group is I-4m2 (No. 119) and the conventional cell measures 4.6308, 4.6308 and 6.7656 Å, with angles of 90.00, 90.00 and 90.00 degrees. The asymmetric unit holds Mo at (0.0000, 0.0000, 0.0000), As at (0.0000, 0.5000, 0.7500), Cl at (0.0000, 0.0000, 0.5000) and Cl at (0.0000, 0.5000, 0.2500).

---

# MoAsCl4

An optimized crystal structure of MoAsCl4 (PBE-GGA, Alexandria via LeMat-Bulk).

The raw total energy comes out at -2.6560 eV per atom. Its volume is 526 Å³/cell. As for the uncorrected formation energy: 1.155 eV/atom.

The space group is F-43m (No. 216) and the conventional cell measures 8.0748, 8.0748 and 8.0748 Å, with angles of 90.00, 90.00 and 90.00 degrees. The asymmetric unit holds Mo at (0.0000, 0.0000, 0.0000), As at (0.2500, 0.2500, 0.7500) and Cl at (0.1252, 0.1252, 0.3748).

---

# MoAsCl2

An optimized crystal structure of MoAsCl2 (PBE-GGA, Alexandria via LeMat-Bulk).

The raw total energy comes out at -4.0620 eV per atom. Its volume is 280 Å³/cell. As for the uncorrected formation energy: 0.731 eV/atom.

The space group is Fm-3m (No. 225) and the conventional cell measures 6.5398, 6.5398 and 6.5398 Å, with angles of 90.00, 90.00 and 90.00 degrees. The asymmetric unit holds Mo at (0.0000, 0.0000, 0.0000), As at (0.0000, 0.0000, 0.5000) and Cl at (0.2500, 0.2500, 0.2500).

---

# MoAsCl2

An optimized crystal structure of MoAsCl2 (PBE-GGA, Alexandria via LeMat-Bulk).

The raw total energy comes out at -4.3547 eV per atom. Its volume is 75 Å³/cell. As for the uncorrected formation energy: 0.439 eV/atom.

The space group is Pmmm (No. 47) and the conventional cell measures 3.0825, 4.4695 and 5.4418 Å, with angles of 90.00, 90.00 and 90.00 degrees. The asymmetric unit holds Mo at (0.0000, 0.0000, 0.0000), As at (0.5000, 0.0000, 0.5000), Cl at (0.0000, 0.5000, 0.5000) and Cl at (0.5000, 0.5000, 0.0000).